Compound: Li3RhN
Source: the Alexandria database
Functional: GGA-PBE
Structure: optimized geometry

```
10
Lattice="2.825 -5.097 0.000 2.825 5.097 0.000 0.000 0.000 4.450" Properties=species:S:1:pos:R:3 pbc="T T T"
Li 2.825 4.117 2.225
Li 1.519 1.731 1.963
Li 1.519 -1.731 4.188
Li 4.130 1.731 1.963
Li 4.130 -1.731 4.188
Li 2.825 -4.117 0.000
Rh 2.825 0.792 4.126
Rh 2.825 -0.792 1.900
N 2.825 2.476 3.297
N 2.825 -2.476 1.072
```

Values from the calculation:
total moment = 1.975 Bohr magnetons per cell
VASP energy = -4.481 eV/atom
relative energy among the computed polymorphs = 0 meV per atom
formation energy without anion corrections = -197 meV/atom

Compound: SrAgRu2
Source: the Alexandria database
Functional: GGA-PBE
Structure: optimized geometry

```
4
Lattice="2.877 -4.667 0.000 2.877 4.667 0.000 0.000 0.000 2.801" Properties=species:S:1:pos:R:3 pbc="T T T"
Sr 0.000 0.000 0.000
Ag 2.877 0.000 0.000
Ru 1.438 2.333 1.401
Ru 1.438 -2.333 1.401
```

Values from the calculation:
total moment = 2.125 Bohr magnetons per cell
VASP energy = -4.968 eV/atom
DFT formation energy = 3.21 eV/f.u.
relative energy among the computed polymorphs = 550 meV per atom

Compound: Mg2Ag5Au5
Source: the Alexandria database
Functional: GGA-PBE
Structure: optimized geometry

```
12
Lattice="6.134 -2.091 0.000 6.134 2.091 0.000 -4.146 0.000 8.360" Properties=species:S:1:pos:R:3 pbc="T T T"
Mg 0.012 0.000 2.065
Mg 8.111 0.000 6.296
Ag 2.033 0.000 4.189
Ag 4.068 0.000 2.090
Ag 6.134 0.000 0.000
Ag 4.055 0.000 6.271
Ag 6.090 0.000 4.171
Au -2.073 0.000 4.180
Au -2.135 0.000 8.321
Au 0.028 0.000 6.251
Au 8.094 0.000 2.109
Au 10.258 0.000 0.039
```

Values from the calculation:
total moment = 0.000 Bohr magnetons per cell
VASP energy = -3.033 eV/atom
DFT formation energy = -2.56 eV/f.u.
relative energy among the computed polymorphs = 0 meV per atom

Compound: TbY6Mg5
Source: the Alexandria database
Functional: GGA-PBE
Structure: optimized geometry

```
12
Lattice="2.686 -8.102 0.000 2.686 8.102 0.000 0.000 0.000 7.816" Properties=species:S:1:pos:R:3 pbc="T T T"
Tb 0.000 0.000 0.000
Y 2.686 5.349 1.991
Y 2.686 5.349 5.825
Y 2.686 0.000 2.058
Y 2.686 0.000 5.758
Y 2.686 -5.349 1.991
Y 2.686 -5.349 5.825
Mg 0.000 0.000 3.908
Mg 2.686 2.709 3.908
Mg 2.686 2.627 0.000
Mg 2.686 -2.627 0.000
Mg 2.686 -2.709 3.908
```

Values from the calculation:
total moment = 0.002 Bohr magnetons per cell
VASP energy = -4.328 eV/atom
DFT formation energy = -0.54 eV/f.u.

Compound: Sm3MgTl
Source: the Alexandria database
Functional: GGA-PBE
Structure: optimized geometry

```
10
Lattice="2.579 -11.185 0.000 2.579 11.185 0.000 0.000 0.000 5.160" Properties=species:S:1:pos:R:3 pbc="T T T"
Sm 2.579 9.937 3.870
Sm 2.579 5.603 3.870
Sm 2.579 1.310 3.870
Sm 2.579 -1.310 1.290
Sm 2.579 -5.603 1.290
Sm 2.579 -9.937 1.290
Mg 2.579 7.758 1.290
Mg 2.579 -7.758 3.870
Tl 2.579 3.459 1.290
Tl 2.579 -3.459 3.870
```

Values from the calculation:
total moment = 0.000 Bohr magnetons per cell
VASP energy = -3.805 eV/atom
DFT formation energy = -0.91 eV/f.u.
relative energy among the computed polymorphs = 0 meV per atom

Compound: La2NiW
Source: the Alexandria database
Functional: GGA-PBE
Structure: optimized geometry

```
4
Lattice="0.000 3.587 3.587 3.587 0.000 3.587 3.587 3.587 0.000" Properties=species:S:1:pos:R:3 pbc="T T T"
La 1.794 1.794 1.794
La 5.381 5.381 5.381
Ni 0.000 0.000 0.000
W 3.587 3.587 3.587
```

Values from the calculation:
total moment = 0.001 Bohr magnetons per cell
VASP energy = -6.653 eV/atom
DFT formation energy = 1.98 eV/f.u.
relative energy among the computed polymorphs = 275 meV per atom

Compound: Tm12AlFe6
Source: the Alexandria database
Functional: GGA-PBE
Structure: optimized geometry

```
19
Lattice="-4.757 4.757 4.757 4.757 -4.757 4.757 4.757 4.757 -4.757" Properties=species:S:1:pos:R:3 pbc="T T T"
Tm 4.757 2.915 -1.944
Tm 2.813 0.000 1.843
Tm 6.701 0.000 1.843
Tm 1.843 2.813 0.000
Tm 2.915 -1.944 4.757
Tm 0.000 1.843 2.813
Tm 4.757 2.915 1.944
Tm 1.843 6.701 0.000
Tm 2.915 1.944 4.757
Tm -1.944 4.757 2.915
Tm 1.944 4.757 2.915
Tm 0.000 1.843 6.701
Al 0.000 0.000 0.000
Fe 4.757 1.063 0.000
Fe 4.757 0.000 3.694
Fe 3.694 4.757 0.000
Fe 1.063 0.000 4.757
Fe 0.000 4.757 1.063
Fe 0.000 3.694 4.757
```

Values from the calculation:
total moment = 6.600 Bohr magnetons per cell
VASP energy = -5.785 eV/atom
DFT formation energy = -1.73 eV/f.u.

Compound: YWSe2
Source: the Alexandria database
Functional: GGA-PBE
Structure: optimized geometry

```
8
Lattice="-2.680 2.680 7.195 2.680 -2.680 7.195 2.680 2.680 -7.195" Properties=species:S:1:pos:R:3 pbc="T T T"
Y 0.000 0.000 0.000
Y 0.000 2.680 3.597
W 2.680 0.000 3.597
W 0.000 0.000 7.195
Se 1.340 -1.011 5.396
Se 1.669 1.340 1.799
Se 1.340 3.690 -1.799
Se 1.011 1.340 8.993
```

Values from the calculation:
total moment = 0.000 Bohr magnetons per cell
VASP energy = -6.804 eV/atom
relative energy among the computed polymorphs = 331 meV per atom
formation energy without anion corrections = -207 meV/atom

Compound: CeThUN3
Source: the Alexandria database
Functional: GGA-PBE
Structure: optimized geometry

```
12
Lattice="7.186 0.000 0.000 0.000 3.664 0.000 -0.535 0.000 8.940" Properties=species:S:1:pos:R:3 pbc="T T T"
Ce 0.960 0.916 1.112
Ce 5.691 2.748 7.828
Th 2.246 2.748 7.532
Th 4.405 0.916 1.408
U 0.064 0.916 5.334
U 6.587 2.748 3.606
N 0.404 0.916 7.570
N 1.246 2.748 5.286
N 2.693 2.748 1.019
N 3.958 0.916 7.921
N 5.405 0.916 3.655
N 6.247 2.748 1.371
```

Values from the calculation:
total moment = 2.044 Bohr magnetons per cell
VASP energy = -9.358 eV/atom
formation energy without anion corrections = -1089 meV/atom

Compound: Ag8Te2S
Source: the Alexandria database
Functional: GGA-PBE
Structure: optimized geometry

```
11
Lattice="8.267 -2.394 0.000 8.267 2.394 0.000 -0.267 0.000 5.983" Properties=species:S:1:pos:R:3 pbc="T T T"
Ag 0.001 0.000 1.476
Ag 3.199 0.000 3.001
Ag 5.822 0.000 1.554
Ag 5.858 0.000 4.421
Ag 10.409 0.000 1.562
Ag 10.446 0.000 4.429
Ag 13.068 0.000 2.982
Ag 16.267 0.000 4.507
Te 2.514 0.000 0.009
Te 13.753 0.000 5.974
S 8.134 0.000 2.992
```

Values from the calculation:
total moment = 0.000 Bohr magnetons per cell
VASP energy = -2.973 eV/atom
formation energy without anion corrections = 47 meV/atom

Compound: AcCeEuGd
Source: the Alexandria database
Functional: GGA-PBE
Structure: optimized geometry

```
4
Lattice="0.000 4.217 4.217 4.217 0.000 4.217 4.217 4.217 0.000" Properties=species:S:1:pos:R:3 pbc="T T T"
Ac 0.000 0.000 0.000
Ce 6.326 6.326 6.326
Eu 2.109 2.109 2.109
Gd 4.217 4.217 4.217
```

Values from the calculation:
total moment = 16.618 Bohr magnetons per cell
VASP energy = -8.371 eV/atom
DFT formation energy = 0.91 eV/f.u.

Compound: TeMoPCl2
Source: the Alexandria database
Functional: GGA-PBE
Structure: optimized geometry

```
5
Lattice="5.119 0.000 0.000 0.000 5.119 0.000 0.000 0.000 5.468" Properties=species:S:1:pos:R:3 pbc="T T T"
Te 0.000 0.000 0.000
Mo 2.560 2.560 2.734
P 0.000 0.000 2.734
Cl 0.000 2.560 0.000
Cl 2.560 0.000 0.000
```

Values from the calculation:
total moment = 4.142 Bohr magnetons per cell
VASP energy = -3.563 eV/atom
relative energy among the computed polymorphs = 829 meV per atom
formation energy without anion corrections = 1053 meV/atom

Which value of VASP energy does entry 10 give?
-2.973 eV/atom